VASP calculation (PBE) on LaZn2Tc2 after structural relaxation.

Cell lengths 4.4796, 4.4796, 9.8787 Å; angles 90.00, 90.00, 90.00 degrees
Last column: nearest neighbours and their distance in Å.
Space group I4/mmm (No. 139)
Inequivalent atoms, fractional coordinates:
La (0.0000, 0.0000, 0.0000)  8 Zn 3.33, 8 Tc 3.36
Zn (0.0000, 0.5000, 0.2500)  4 Tc 2.62
Tc (0.0000, 0.0000, 0.3874)  1 Tc 2.23

Properties
The value obtained for the magnetic moment is 0.0 μB/f.u. Its formation enthalpy at 0 K is 69.4 meV/atom.